[1]
LiDyAlCr: optimized geometry, PBE-GGA.

Cell lengths 4.763, 4.763, 4.763 Å; angles 60.00, 60.00, 60.00 degrees
Element x y z (fractional)
1 Li 0.000 0.000 0.000
2 Dy 0.750 0.750 0.750
3 Al 0.250 0.250 0.250
4 Cr 0.500 0.500 0.500

Calculated values
Crystal system   cubic
Space group   No. 216
ΔE_f   0.013 eV per atom

***

[2]
Tm6SnRh: optimized geometry, PBE-GGA.

Cell lengths 6.731, 6.739, 7.467 Å; angles 90.10, 116.70, 119.92 degrees
Element x y z (fractional)
1 Tm 0.040 0.080 0.256
2 Tm 0.296 0.716 0.256
3 Tm 0.322 0.539 0.744
4 Tm 0.678 0.461 0.256
5 Tm 0.704 0.284 0.744
6 Tm 0.960 0.920 0.744
7 Sn 0.500 0.000 0.000
8 Rh 0.500 0.500 0.500

Calculated values
Crystal system   triclinic
Space group   No. 2
ΔE_f   -0.201 eV per atom

***

[3]
YHoMgZn: optimized geometry, PBE-GGA.

Cell lengths 5.191, 5.191, 5.191 Å; angles 60.00, 60.00, 60.00 degrees
Element x y z (fractional)
1 Y 0.000 0.000 0.000
2 Ho 0.500 0.500 0.500
3 Mg 0.750 0.750 0.750
4 Zn 0.250 0.250 0.250

Calculated values
Crystal system   cubic
Space group   No. 216
ΔE_f   -0.188 eV per atom

***

[4]
Ba2Sr2Br7: optimized geometry, PBE-GGA.

Cell lengths 10.744, 10.744, 10.744 Å; angles 60.00, 60.00, 60.00 degrees
Element x y z (fractional)
1 Ba 0.000 0.000 0.000
2 Ba 0.000 0.000 0.500
3 Ba 0.000 0.500 0.000
4 Ba 0.500 0.000 0.000
5 Sr 0.000 0.500 0.500
6 Sr 0.500 0.000 0.500
7 Sr 0.500 0.500 0.000
8 Sr 0.500 0.500 0.500
9 Br 0.125 0.125 0.125
10 Br 0.138 0.138 0.612
11 Br 0.138 0.612 0.138
12 Br 0.138 0.612 0.612
13 Br 0.388 0.388 0.862
14 Br 0.388 0.862 0.388
15 Br 0.388 0.862 0.862
16 Br 0.612 0.138 0.138
17 Br 0.612 0.138 0.612
18 Br 0.612 0.612 0.138
19 Br 0.862 0.388 0.388
20 Br 0.862 0.388 0.862
21 Br 0.862 0.862 0.388
22 Br 0.875 0.875 0.875

Calculated values
Crystal system   cubic
Space group   No. 227
Uncorrected formation energy   -2.018 eV per atom

***

[5]
CaZrPt3: optimized geometry, PBE-GGA.

Cell lengths 5.025, 5.025, 5.025 Å; angles 90.00, 90.00, 90.00 degrees
Element x y z (fractional)
1 Ca 0.000 0.000 0.000
2 Zr 0.500 0.500 0.500
3 Pt 0.000 0.500 0.500
4 Pt 0.500 0.000 0.500
5 Pt 0.500 0.500 0.000

Calculated values
Crystal system   cubic
Space group   No. 221
ΔE_f   -0.138 eV per atom

***

[6]
CaBeGaBr2: optimized geometry, PBE-GGA.

Cell lengths 4.687, 4.687, 6.444 Å; angles 90.00, 90.00, 90.00 degrees
Element x y z (fractional)
1 Ca 0.000 0.000 0.000
2 Be 0.000 0.000 0.500
3 Ga 0.500 0.500 0.000
4 Br 0.000 0.500 0.500
5 Br 0.500 0.000 0.500

Calculated values
Crystal system   tetragonal
Space group   No. 123
Uncorrected formation energy   -0.026 eV per atom

***

[7]
Ba7HAu4: optimized geometry, PBE-GGA.

Cell lengths 7.927, 7.927, 14.035 Å; angles 104.39, 104.39, 33.70 degrees
Element x y z (fractional)
1 Ba 0.000 0.000 0.000
2 Ba 0.215 0.215 0.850
3 Ba 0.279 0.279 0.405
4 Ba 0.520 0.520 0.275
5 Ba 0.590 0.590 0.577
6 Ba 0.751 0.751 0.142
7 Ba 0.904 0.904 0.679
8 H 0.137 0.137 0.205
9 Au 0.248 0.248 0.627
10 Au 0.369 0.369 0.064
11 Au 0.548 0.548 0.824
12 Au 0.945 0.945 0.423

Calculated values
Crystal system   monoclinic
Final energy   -3.02 eV per atom
Space group   No. 8

***

[8]
YHfAgHg: optimized geometry, PBE-GGA.

Cell lengths 5.043, 5.043, 5.043 Å; angles 60.00, 60.00, 60.00 degrees
Element x y z (fractional)
1 Y 0.000 0.000 0.000
2 Hf 0.500 0.500 0.500
3 Ag 0.750 0.750 0.750
4 Hg 0.250 0.250 0.250

Calculated values
Crystal system   cubic
Space group   No. 216
ΔE_f   -0.118 eV per atom

***

[9]
NaRh5Se8: optimized geometry, PBE-GGA.

Cell lengths 9.927, 9.927, 8.666 Å; angles 106.85, 106.85, 21.62 degrees
Element x y z (fractional)
1 Na 0.000 0.000 0.000
2 Rh 0.156 0.156 0.460
3 Rh 0.200 0.200 0.824
4 Rh 0.499 0.499 0.500
5 Rh 0.799 0.799 0.176
6 Rh 0.843 0.843 0.540
7 Se 0.076 0.076 0.633
8 Se 0.264 0.264 0.355
9 Se 0.323 0.323 0.011
10 Se 0.420 0.420 0.690
11 Se 0.578 0.578 0.310
12 Se 0.675 0.675 0.989
13 Se 0.734 0.734 0.645
14 Se 0.922 0.922 0.367

Calculated values
Crystal system   monoclinic
Space group   No. 8
Uncorrected formation energy   -0.455 eV per atom

***

[10]
La7Er4Th: optimized geometry, PBE-GGA.

Cell lengths 6.398, 7.361, 9.006 Å; angles 89.76, 76.52, 90.00 degrees
Element x y z (fractional)
1 La 0.000 0.000 0.000
2 La 0.226 0.001 0.337
3 La 0.280 0.255 0.669
4 La 0.498 0.263 0.004
5 La 0.502 0.737 0.996
6 La 0.720 0.745 0.331
7 La 0.774 0.999 0.663
8 Er 0.212 0.500 0.332
9 Er 0.274 0.737 0.671
10 Er 0.726 0.263 0.329
11 Er 0.788 0.500 0.668
12 Th 0.000 0.500 0.000

Calculated values
Crystal system   triclinic
Space group   No. 2
ΔE_f   0.016 eV per atom

***

[11]
MnTcP: optimized geometry, PBE-GGA.

Cell lengths 5.961, 5.711, 2.811 Å; angles 81.08, 71.16, 27.76 degrees
Element x y z (fractional)
1 Mn 0.000 0.000 0.000
2 Tc 0.304 0.304 0.696
3 P 0.647 0.647 0.353

Calculated values
Crystal system   orthorhombic
Space group   No. 42
ΔE_f   0.080 eV per atom

***

[12]
BaP2Ru: optimized geometry, PBE-GGA.

Cell lengths 3.739, 4.111, 6.042 Å; angles 90.00, 90.00, 90.00 degrees
Element x y z (fractional)
1 Ba 0.000 0.000 0.000
2 P 0.500 0.500 0.313
3 P 0.500 0.500 0.687
4 Ru 0.500 0.000 0.500

Calculated values
Crystal system   orthorhombic
Space group   No. 47
ΔE_f   -0.362 eV per atom

***

[13]
Ga2Hg2Se: optimized geometry, PBE-GGA.

Cell lengths 7.085, 7.085, 4.942 Å; angles 90.00, 90.00, 90.00 degrees
Element x y z (fractional)
1 Ga 0.138 0.362 0.000
2 Ga 0.362 0.862 0.000
3 Ga 0.638 0.138 0.000
4 Ga 0.862 0.638 0.000
5 Hg 0.179 0.679 0.500
6 Hg 0.321 0.179 0.500
7 Hg 0.679 0.821 0.500
8 Hg 0.821 0.321 0.500
9 Se 0.000 0.000 0.000
10 Se 0.500 0.500 0.000

Calculated values
Crystal system   tetragonal
Space group   No. 127
Uncorrected formation energy   -0.035 eV per atom

***

[14]
ZnAgPbBr5: optimized geometry, PBE-GGA.

Cell lengths 7.719, 7.719, 10.828 Å; angles 108.21, 108.21, 95.86 degrees
Element x y z (fractional)
1 Zn 0.084 0.916 0.750
2 Zn 0.916 0.084 0.250
3 Ag 0.401 0.599 0.750
4 Ag 0.599 0.401 0.250
5 Pb 0.000 0.500 0.000
6 Pb 0.500 0.000 0.500
7 Br 0.196 0.249 0.841
8 Br 0.215 0.765 0.571
9 Br 0.235 0.785 0.929
10 Br 0.249 0.196 0.341
11 Br 0.372 0.628 0.250
12 Br 0.628 0.372 0.750
13 Br 0.751 0.804 0.659
14 Br 0.765 0.215 0.071
15 Br 0.785 0.235 0.429
16 Br 0.804 0.751 0.159

Calculated values
Crystal system   monoclinic
Space group   No. 15
Uncorrected formation energy   -0.723 eV per atom

***

[15]
Ce2DyGa2: optimized geometry, PBE-GGA.

Cell lengths 6.164, 4.294, 9.816 Å; angles 90.00, 105.11, 90.00 degrees
Element x y z (fractional)
1 Ce 0.057 0.250 0.335
2 Ce 0.129 0.250 0.061
3 Ce 0.871 0.750 0.939
4 Ce 0.943 0.750 0.665
5 Dy 0.451 0.250 0.738
6 Dy 0.549 0.750 0.262
7 Ga 0.365 0.750 0.518
8 Ga 0.368 0.750 0.935
9 Ga 0.632 0.250 0.065
10 Ga 0.635 0.250 0.482

Calculated values
Crystal system   monoclinic
Space group   No. 11
ΔE_f   -0.355 eV per atom

***

[16]
NaSr3Si: optimized geometry, PBE-GGA.

Cell lengths 6.179, 6.179, 6.179 Å; angles 90.00, 90.00, 90.00 degrees
Element x y z (fractional)
1 Na 0.000 0.000 0.000
2 Sr 0.000 0.500 0.500
3 Sr 0.500 0.000 0.500
4 Sr 0.500 0.500 0.000
5 Si 0.500 0.500 0.500

Calculated values
Crystal system   cubic
Space group   No. 221
Uncorrected formation energy   -0.120 eV per atom

***

[17]
BaBiClF2: optimized geometry, PBE-GGA.

Cell lengths 4.623, 4.623, 7.304 Å; angles 90.00, 90.00, 90.00 degrees
Element x y z (fractional)
1 Ba 0.000 0.000 0.000
2 Bi 0.000 0.000 0.500
3 Cl 0.500 0.500 0.000
4 F 0.000 0.500 0.500
5 F 0.500 0.000 0.500

Calculated values
Crystal system   tetragonal
Space group   No. 123
Uncorrected formation energy   -2.028 eV per atom

***

[18]
Ho3Be2Pt4: optimized geometry, PBE-GGA.

Cell lengths 5.482, 5.482, 8.369 Å; angles 109.32, 109.32, 44.87 degrees
Element x y z (fractional)
1 Ho 0.000 0.000 0.000
2 Ho 0.366 0.366 0.307
3 Ho 0.634 0.634 0.693
4 Be 0.333 0.333 0.667
5 Be 0.667 0.667 0.333
6 Pt 0.116 0.116 0.424
7 Pt 0.290 0.290 0.916
8 Pt 0.710 0.710 0.084
9 Pt 0.884 0.884 0.576

Calculated values
Crystal system   monoclinic
Space group   No. 12
ΔE_f   -1.023 eV per atom

***

[19]
P2SeSO: optimized geometry, PBE-GGA.

Cell lengths 4.845, 4.845, 4.739 Å; angles 90.00, 90.00, 90.00 degrees
Element x y z (fractional)
1 P 0.000 0.500 0.000
2 P 0.500 0.000 0.000
3 Se 0.000 0.000 0.000
4 S 0.000 0.000 0.500
5 O 0.500 0.500 0.500

Calculated values
Crystal system   tetragonal
Space group   No. 123
Uncorrected formation energy   1.565 eV per atom

***

[20]
DyCoB: optimized geometry, PBE-GGA.

Cell lengths 3.542, 3.542, 7.969 Å; angles 90.00, 90.00, 120.00 degrees
Element x y z (fractional)
1 Dy 0.000 0.000 0.000
2 Dy 0.000 0.000 0.500
3 Co 0.333 0.667 0.250
4 Co 0.667 0.333 0.750
5 B 0.333 0.667 0.750
6 B 0.667 0.333 0.250

Calculated values
Crystal system   hexagonal
Space group   No. 194
ΔE_f   -0.367 eV per atom

***

[21]
BaCo2Sb: optimized geometry, PBE-GGA.

Cell lengths 3.401, 3.401, 7.193 Å; angles 90.00, 90.00, 90.00 degrees
Element x y z (fractional)
1 Ba 0.000 0.000 0.000
2 Co 0.500 0.500 0.328
3 Co 0.500 0.500 0.672
4 Sb 0.000 0.000 0.500

Calculated values
Crystal system   tetragonal
Space group   No. 123
Uncorrected formation energy   0.385 eV per atom

***

[22]
SrTi2Co: optimized geometry, PBE-GGA.

Cell lengths 4.671, 4.671, 4.671 Å; angles 60.00, 60.00, 60.00 degrees
Element x y z (fractional)
1 Sr 0.000 0.000 0.000
2 Ti 0.250 0.250 0.250
3 Ti 0.750 0.750 0.750
4 Co 0.500 0.500 0.500

Calculated values
Crystal system   cubic
Space group   No. 225
ΔE_f   0.729 eV per atom

***

[23]
MgTe2Mo: optimized geometry, PBE-GGA.

Cell lengths 10.087, 10.087, 10.087 Å; angles 19.85, 19.85, 19.85 degrees
Element x y z (fractional)
1 Mg 0.000 0.000 0.000
2 Te 0.104 0.104 0.104
3 Te 0.896 0.896 0.896
4 Mo 0.500 0.500 0.500

Calculated values
Crystal system   trigonal
Space group   No. 166
Uncorrected formation energy   -0.003 eV per atom

***

[24]
LuSn3: optimized geometry, PBE-GGA.

Cell lengths 6.318, 6.318, 6.318 Å; angles 147.84, 62.02, 128.50 degrees
Element x y z (fractional)
1 Lu 0.000 0.000 0.000
2 Sn 0.406 0.659 0.747
3 Sn 0.512 0.012 0.500
4 Sn 0.912 0.659 0.253

Calculated values
Crystal system   orthorhombic
Space group   No. 44
ΔE_f   -0.278 eV per atom

***

[25]
MnSi2Au: optimized geometry, PBE-GGA.

Cell lengths 2.775, 2.775, 7.714 Å; angles 90.00, 90.00, 90.00 degrees
Element x y z (fractional)
1 Mn 0.000 0.000 0.000
2 Si 0.000 0.000 0.447
3 Si 0.500 0.500 0.203
4 Au 0.500 0.500 0.735

Calculated values
Crystal system   tetragonal
Space group   No. 99
Uncorrected formation energy   0.193 eV per atom

***

[26]
TcNiAu2: optimized geometry, PBE-GGA.

Cell lengths 4.476, 4.476, 4.476 Å; angles 60.00, 60.00, 60.00 degrees
Element x y z (fractional)
1 Tc 0.000 0.000 0.000
2 Ni 0.750 0.750 0.750
3 Au 0.250 0.250 0.250
4 Au 0.500 0.500 0.500

Calculated values
Crystal system   cubic
Space group   No. 216
ΔE_f   0.441 eV per atom